[1]
Computed, not measured: CuI2 after structural relaxation at the PBE level of DFT.

Cell and atoms, written as CIF:
```
data_CuI2
_chemical_formula_sum 'Cu3 I6'
_space_group_name_H-M_alt 'R -3 m'
_space_group_IT_number 166
_space_group_name_Hall '-R 3 2"'
_cell_length_a 3.9666
_cell_length_b 3.9666
_cell_length_c 18.8956
_cell_angle_alpha 90.00
_cell_angle_beta 90.00
_cell_angle_gamma 120.00
loop_
_atom_site_label
_atom_site_fract_x
_atom_site_fract_y
_atom_site_fract_z
_atom_site_occupancy
Cu1 0.0000 0.0000 0.0000 1
I1 0.0000 0.0000 0.2494 1
```

Summary:
V (Å³/f.u.): 85.83
Electronic total energy (eV/atom): -2.286

=====

[2]
Computed, not measured: Tb4InCu2Ge4 after structural relaxation at the PBE level of DFT.

Cell and atoms, written as CIF:
```
data_Tb4InCu2Ge4
_chemical_formula_sum 'Tb8 In2 Cu4 Ge8'
_space_group_name_H-M_alt 'C 1 2/m 1'
_space_group_IT_number 12
_cell_length_a 15.673
_cell_length_b 4.265
_cell_length_c 7.163
_cell_angle_alpha 90.00
_cell_angle_beta 108.50
_cell_angle_gamma 90.00
loop_
_space_group_symop_operation_xyz
'x,y,z'
'-x,-y,-z'
'-x,y,-z'
'x,-y,z'
'x+1/2,y+1/2,z'
'-x+1/2,-y+1/2,-z'
'-x+1/2,y+1/2,-z'
'x+1/2,-y+1/2,z'
loop_
_atom_site_label
_atom_site_fract_x
_atom_site_fract_y
_atom_site_fract_z
_atom_site_occupancy
Tb1 0.090 0.000 0.385 1
Tb2 0.152 0.000 0.932 1
In1 0.000 0.500 0.000 1
Cu1 0.217 0.500 0.637 1
Ge1 0.063 0.500 0.660 1
Ge2 0.200 0.500 0.252 1
```

Summary:
V (Å³/f.u.): 227.03
Total magnetic moment (μB/atom): 0.000
Electronic total energy (eV/atom): -4.989

=====

[3]
Computed, not measured: Pr3Si2S8Cl after structural relaxation at the PBE level of DFT.

Cell and atoms, written as CIF:
```
data_Pr3Si2S8Cl
_chemical_formula_sum 'Pr12 Si8 S32 Cl4'
_space_group_name_H-M_alt 'C 1 2/c 1'
_space_group_IT_number 15
_cell_length_a 15.719
_cell_length_b 7.721
_cell_length_c 11.018
_cell_angle_alpha 90.00
_cell_angle_beta 97.60
_cell_angle_gamma 90.00
loop_
_space_group_symop_operation_xyz
'x,y,z'
'-x,-y,-z'
'-x,y,-z+1/2'
'x,-y,z+1/2'
'x+1/2,y+1/2,z'
'-x+1/2,-y+1/2,-z'
'-x+1/2,y+1/2,-z+1/2'
'x+1/2,-y+1/2,z+1/2'
loop_
_atom_site_label
_atom_site_fract_x
_atom_site_fract_y
_atom_site_fract_z
_atom_site_occupancy
Pr1 0.000 0.122 0.250 1
Pr2 0.196 0.377 0.685 1
Si1 0.160 0.032 0.029 1
S1 0.065 0.158 0.548 1
S2 0.147 0.091 0.839 1
S3 0.147 0.251 0.142 1
S4 0.216 0.427 0.415 1
Cl1 0.000 0.494 0.250 1
```

Summary:
V (Å³/f.u.): 331.38
Total magnetic moment (μB/atom): 0.000
Electronic total energy (eV/atom): -5.809

=====

[4]
Computed, not measured: Cs2AgSbBr6 after structural relaxation at the PBE level of DFT.

Cell and atoms, written as CIF:
```
data_Cs2AgSbBr6
_chemical_formula_sum 'Cs4 Ag2 Sb2 Br12'
_space_group_name_H-M_alt 'C 1 2/m 1'
_space_group_IT_number 12
_cell_length_a 13.858
_cell_length_b 8.005
_cell_length_c 8.002
_cell_angle_alpha 90.00
_cell_angle_beta 125.24
_cell_angle_gamma 90.00
loop_
_space_group_symop_operation_xyz
'x,y,z'
'-x,-y,-z'
'-x,y,-z'
'x,-y,z'
'x+1/2,y+1/2,z'
'-x+1/2,-y+1/2,-z'
'-x+1/2,y+1/2,-z'
'x+1/2,-y+1/2,z'
loop_
_atom_site_label
_atom_site_fract_x
_atom_site_fract_y
_atom_site_fract_z
_atom_site_occupancy
Cs1 0.250 0.000 0.250 1
Ag1 0.000 0.000 0.500 1
Sb1 0.000 0.500 0.000 1
Br1 0.001 0.251 0.751 1
Br2 0.249 0.500 0.250 1
```

Summary:
V (Å³/f.u.): 362.52
Electronic total energy (eV/atom): -2.946

=====

[5]
Computed, not measured: AcZn2Au2 after structural relaxation at the PBE level of DFT.

Cell and atoms, written as CIF:
```
data_AcZn2Au2
_chemical_formula_sum 'Ac2 Zn4 Au4'
_space_group_name_H-M_alt 'I 4/m m m'
_space_group_IT_number 139
_space_group_name_Hall '-I 4 2'
_cell_length_a 4.369
_cell_length_b 4.369
_cell_length_c 11.708
_cell_angle_alpha 90.00
_cell_angle_beta 90.00
_cell_angle_gamma 90.00
loop_
_atom_site_label
_atom_site_fract_x
_atom_site_fract_y
_atom_site_fract_z
_atom_site_occupancy
Ac1 0.000 0.000 0.000 1
Zn1 0.000 0.500 0.250 1
Au1 0.000 0.000 0.379 1
```

Summary:
V (Å³/f.u.): 111.74
Formation energy (kcal/mol of atoms): -13.28
Total magnetic moment (μB/atom): 0.001

=====

[6]
Computed, not measured: BaRePb after structural relaxation at the PBE level of DFT.

Cell and atoms, written as CIF:
```
data_BaRePb
_chemical_formula_sum 'Ba4 Re4 Pb4'
_space_group_name_H-M_alt 'F -4 3 m'
_space_group_IT_number 216
_space_group_name_Hall 'F -4 2 3'
_cell_length_a 7.099
_cell_length_b 7.099
_cell_length_c 7.099
_cell_angle_alpha 90.00
_cell_angle_beta 90.00
_cell_angle_gamma 90.00
loop_
_atom_site_label
_atom_site_fract_x
_atom_site_fract_y
_atom_site_fract_z
_atom_site_occupancy
Ba1 0.000 0.000 0.000 1
Re1 0.250 0.250 0.250 1
Pb1 0.000 0.000 0.500 1
```

Summary:
V (Å³/f.u.): 89.43
ΔE to the lowest computed polymorph (meV per atom): 0
Total magnetic moment (μB/atom): 0.359

=====

[7]
Computed, not measured: SbPbW4N2 after structural relaxation at the PBE level of DFT.

Cell and atoms, written as CIF:
```
data_SbPbW4N2
_chemical_formula_sum 'Sb1 Pb1 W4 N2'
_space_group_name_H-M_alt 'P -6 m 2'
_space_group_IT_number 187
_space_group_name_Hall 'P -6 2'
_cell_length_a 3.3686
_cell_length_b 3.3686
_cell_length_c 12.7477
_cell_angle_alpha 90.00
_cell_angle_beta 90.00
_cell_angle_gamma 120.00
loop_
_atom_site_label
_atom_site_fract_x
_atom_site_fract_y
_atom_site_fract_z
_atom_site_occupancy
Sb1 0.0000 0.0000 0.0000 1
Pb1 0.3333 0.6667 0.5000 1
W1 0.0000 0.0000 0.3150 1
W2 0.3333 0.6667 0.1652 1
N1 0.6667 0.3333 0.2570 1
```

Summary:
V (Å³/f.u.): 125.28
Total magnetic moment (μB/atom): 0.000
Electronic total energy (eV/atom): -9.039

=====

[8]
Computed, not measured: RbNdAsSe3 after structural relaxation at the PBE level of DFT.

Cell and atoms, written as CIF:
```
data_RbNdAsSe3
_chemical_formula_sum 'Rb4 Nd4 As4 Se12'
_space_group_name_H-M_alt 'C m c m'
_space_group_IT_number 63
_space_group_name_Hall '-C 2c 2'
_cell_length_a 4.479
_cell_length_b 14.652
_cell_length_c 12.022
_cell_angle_alpha 90.00
_cell_angle_beta 90.00
_cell_angle_gamma 90.00
loop_
_atom_site_label
_atom_site_fract_x
_atom_site_fract_y
_atom_site_fract_z
_atom_site_occupancy
Rb1 0.000 0.228 0.250 1
Nd1 0.000 0.500 0.000 1
As1 0.000 0.074 0.750 1
Se1 0.000 0.130 0.534 1
Se2 0.000 0.486 0.750 1
```

Summary:
V (Å³/f.u.): 197.22
Total magnetic moment (μB/atom): 0.000
Electronic total energy (eV/atom): -4.486

=====

[9]
Computed, not measured: CdTcO3 after structural relaxation at the PBE level of DFT.

Cell and atoms, written as CIF:
```
data_CdTcO3
_chemical_formula_sum 'Cd4 Tc4 O12'
_space_group_name_H-M_alt 'P n m a'
_space_group_IT_number 62
_cell_length_a 5.454
_cell_length_b 7.782
_cell_length_c 5.426
_cell_angle_alpha 90.00
_cell_angle_beta 90.00
_cell_angle_gamma 90.00
loop_
_space_group_symop_operation_xyz
'x,y,z'
'-x,-y,-z'
'-x+1/2,-y,z+1/2'
'x+1/2,y,-z+1/2'
'x+1/2,-y+1/2,-z+1/2'
'-x+1/2,y+1/2,z+1/2'
'-x,y+1/2,-z'
'x,-y+1/2,z'
loop_
_atom_site_label
_atom_site_fract_x
_atom_site_fract_y
_atom_site_fract_z
_atom_site_occupancy
Cd1 0.043 0.250 0.008 1
Tc1 0.000 0.000 0.500 1
O1 0.037 0.750 0.398 1
O2 0.198 0.553 0.803 1
```

Summary:
V (Å³/f.u.): 57.58
Total magnetic moment (μB/atom): 0.420
Electronic total energy (eV/atom): -6.364

=====

[10]
Computed, not measured: ZrBeZnNi after structural relaxation at the PBE level of DFT.

Cell and atoms, written as CIF:
```
data_ZrBeZnNi
_chemical_formula_sum 'Zr4 Be4 Zn4 Ni4'
_space_group_name_H-M_alt 'F -4 3 m'
_space_group_IT_number 216
_space_group_name_Hall 'F -4 2 3'
_cell_length_a 6.083
_cell_length_b 6.083
_cell_length_c 6.083
_cell_angle_alpha 90.00
_cell_angle_beta 90.00
_cell_angle_gamma 90.00
loop_
_atom_site_label
_atom_site_fract_x
_atom_site_fract_y
_atom_site_fract_z
_atom_site_occupancy
Zr1 0.000 0.000 0.000 1
Be1 0.000 0.000 0.500 1
Zn1 0.250 0.250 0.750 1
Ni1 0.250 0.250 0.250 1
```

Summary:
V (Å³/f.u.): 56.28
ΔE to the lowest computed polymorph (meV per atom): 73
Total magnetic moment (μB/atom): 0.000

=====

[11]
Computed, not measured: NaLa3Os after structural relaxation at the PBE level of DFT.

Cell and atoms, written as CIF:
```
data_NaLa3Os
_chemical_formula_sum 'Na1 La3 Os1'
_space_group_name_H-M_alt 'P m -3 m'
_space_group_IT_number 221
_space_group_name_Hall '-P 4 2 3'
_cell_length_a 5.692
_cell_length_b 5.692
_cell_length_c 5.692
_cell_angle_alpha 90.00
_cell_angle_beta 90.00
_cell_angle_gamma 90.00
loop_
_atom_site_label
_atom_site_fract_x
_atom_site_fract_y
_atom_site_fract_z
_atom_site_occupancy
Na1 0.000 0.000 0.000 1
La1 0.000 0.500 0.500 1
Os1 0.500 0.500 0.500 1
```

Summary:
V (Å³/f.u.): 184.40
ΔE to the lowest computed polymorph (meV per atom): 52
Total magnetic moment (μB/atom): 0.000

=====

[12]
Computed, not measured: Ho3ErLu2As2Os after structural relaxation at the PBE level of DFT.

Cell and atoms, written as CIF:
```
data_Ho3ErLu2As2Os
_chemical_formula_sum 'Ho6 Er2 Lu4 As4 Os2'
_space_group_name_H-M_alt 'A m m 2'
_space_group_IT_number 38
_cell_length_a 4.136
_cell_length_b 13.503
_cell_length_c 7.764
_cell_angle_alpha 90.00
_cell_angle_beta 90.00
_cell_angle_gamma 90.00
loop_
_space_group_symop_operation_xyz
'x,y,z'
'-x,-y,z'
'-x,y,z'
'x,-y,z'
'x,y+1/2,z+1/2'
'-x,-y+1/2,z+1/2'
'-x,y+1/2,z+1/2'
'x,-y+1/2,z+1/2'
loop_
_atom_site_label
_atom_site_fract_x
_atom_site_fract_y
_atom_site_fract_z
_atom_site_occupancy
Ho1 0.000 0.000 0.000 1
Ho2 0.000 0.202 0.396 1
Er1 0.500 0.000 0.356 1
Lu1 0.500 0.122 0.720 1
As1 0.500 0.168 0.098 1
Os1 0.000 0.000 0.604 1
```

Summary:
V (Å³/f.u.): 216.80
Total magnetic moment (μB/atom): 0.002
Electronic total energy (eV/atom): -6.100

=====

Which of these has the highest V?
Cs2AgSbBr6

=====

Which of these has the highest V?
Cs2AgSbBr6

=====

The lowest V belongs to which entry?
ZrBeZnNi

=====

Which value of V does entry 4 give?
362.52 Å³/f.u.